[1]
Crystalline CuSnBiO2 at its relaxed geometry. Source: the Alexandria database, functional PBE.

Geometry as CIF:
```
data_CuSnBiO2
_cell_length_a 4.0483
_cell_length_b 4.0483
_cell_length_c 5.3973
_cell_angle_alpha 90.00
_cell_angle_beta 90.00
_cell_angle_gamma 90.00
_symmetry_space_group_name_H-M 'P 4/m m m'
_symmetry_Int_Tables_number 123
_symmetry_space_group_name_Hall '-P 4 2'
loop_
_atom_site_label
_atom_site_fract_x
_atom_site_fract_y
_atom_site_fract_z
_atom_site_occupancy
Cu1 0.0000 0.0000 0.0000 1
Sn1 0.0000 0.0000 0.5000 1
Bi1 0.5000 0.5000 0.0000 1
O1 0.0000 0.5000 0.5000 1
```

Properties
ΔE_f (raw) = -0.270 eV per atom
Spin magnetization = 0.00 μB/f.u.
Final energy = -4.649 eV per atom
V = 17.691 A^3/atom


[2]
Crystalline CuSnBiO4 at its relaxed geometry. Source: the Alexandria database, functional PBE.

Geometry as CIF:
```
data_CuSnBiO4
_cell_length_a 6.8261
_cell_length_b 7.6422
_cell_length_c 7.7403
_cell_angle_alpha 90.00
_cell_angle_beta 90.00
_cell_angle_gamma 90.00
_symmetry_space_group_name_H-M 'I m m a'
_symmetry_Int_Tables_number 74
_symmetry_space_group_name_Hall '-I 2b 2'
loop_
_atom_site_label
_atom_site_fract_x
_atom_site_fract_y
_atom_site_fract_z
_atom_site_occupancy
Cu1 0.0000 0.0000 0.0000 1
Sn1 0.2500 0.2500 0.2500 1
Bi1 0.0000 0.2500 0.6876 1
O1 0.0000 0.0702 0.2408 1
O2 0.2478 0.2500 0.5154 1
```

Properties
ΔE_f (raw) = -1.087 eV per atom
Spin magnetization = 0.00 μB/f.u.
Final energy = -5.632 eV per atom
V = 14.421 A^3/atom